DFT (PBE) results for GaSiH2 after structural relaxation.

a = 4.4417 Å, b = 4.4114 Å, c = 6.5093 Å
α = 90.00°, β = 126.23°, γ = 90.00°
Sites, in units of the cell vectors:
Ga (0.8366, 0.0000, 0.2712)
Ga (0.8366, 0.5000, 0.7712)
Si (0.0635, 0.0000, 0.7532)
Si (0.0635, 0.5000, 0.2532)
H (0.4095, 0.0000, 0.7550)
H (0.4095, 0.5000, 0.2550)
H (0.3460, 0.0000, 0.0765)
H (0.3460, 0.5000, 0.5765)

Properties
Polymorph energy (0 for the lowest one): 113 meV per atom
Uncorrected energy: -28.3 eV per cell
Density of states at the Fermi level: 1.2 states/eV/cell